Entry 1:
Material: LaSb2Se
Method: DFT, GGA-PBEsol
State: optimized geometry Values from VASP.

Cell and atoms, written as Quantum ESPRESSO input:
```
&SYSTEM
  ibrav = 0, nat = 4, ntyp = 3
/
ATOMIC_SPECIES
Sb 121.76 Sb.upf
La 138.91 La.upf
Se 78.96 Se.upf
CELL_PARAMETERS angstrom
4.298 0.000 0.000
0.000 4.295 -0.153
-2.149 -1.941 5.658
ATOMIC_POSITIONS angstrom
Sb 0.000 0.106 2.791
Sb 2.149 2.249 2.713
La 2.149 0.000 0.000
Se 0.000 2.148 -0.077
```

- formation energy without anion corrections (eV per atom) = -0.94
- total DFT energy (no corrections) (eV/atom) = -5.518
- symmetry = C2/m
- total moment (μB per atom) = 0.0000
- Fermi-level density of states (states/eV/atom) = 0.649

Entry 2:
Material: LaSb2Se
Method: DFT, GGA-PBEsol
State: optimized geometry Values from VASP.

Cell and atoms, written as Quantum ESPRESSO input:
```
&SYSTEM
  ibrav = 0, nat = 4, ntyp = 3
/
ATOMIC_SPECIES
La 138.91 La.upf
Sb 121.76 Sb.upf
Se 78.96 Se.upf
CELL_PARAMETERS angstrom
4.174 0.000 0.000
0.000 5.419 0.000
-2.087 -2.709 4.643
ATOMIC_POSITIONS angstrom
La 2.087 0.000 2.317
Sb 2.087 2.710 4.365
Sb 0.000 2.709 2.361
Se 2.087 2.709 0.242
```

- formation energy without anion corrections (eV per atom) = -0.76
- total DFT energy (no corrections) (eV/atom) = -5.342
- symmetry = Imm2
- total moment (μB per atom) = 0.0000
- Fermi-level density of states (states/eV/atom) = 0.565

Entry 3:
Material: LaZn2SbSe
Method: DFT, GGA-PBEsol
State: optimized geometry Values from VASP.

Cell and atoms, written as Quantum ESPRESSO input:
```
&SYSTEM
  ibrav = 0, nat = 5, ntyp = 4
/
ATOMIC_SPECIES
Zn 65.41 Zn.upf
Sb 121.76 Sb.upf
La 138.91 La.upf
Se 78.96 Se.upf
CELL_PARAMETERS angstrom
4.921 0.000 0.000
0.000 4.921 0.000
0.000 0.000 5.639
ATOMIC_POSITIONS angstrom
Zn 2.461 0.000 0.000
Zn 0.000 2.461 0.000
Sb 0.000 0.000 0.000
La 2.461 2.461 2.820
Se 0.000 0.000 2.820
```

- formation energy without anion corrections (eV per atom) = 0.05
- total DFT energy (no corrections) (eV/atom) = -3.337
- symmetry = P4/mmm
- total moment (μB per atom) = 0.0002
- Fermi-level density of states (states/eV/atom) = 0.778

Entry 4:
Material: LaSi2Sb
Method: DFT, GGA-PBEsol
State: optimized geometry Values from VASP.

Cell and atoms, written as Quantum ESPRESSO input:
```
&SYSTEM
  ibrav = 0, nat = 8, ntyp = 3
/
ATOMIC_SPECIES
Sb 121.76 Sb.upf
Si 28.09 Si.upf
La 138.91 La.upf
CELL_PARAMETERS angstrom
6.346 -0.462 0.000
-2.836 5.696 0.000
-1.755 -2.617 5.527
ATOMIC_POSITIONS angstrom
Sb 1.755 2.617 0.000
Sb 3.173 -0.231 2.764
Si 3.482 0.510 0.156
Si 0.568 0.567 2.920
Si -2.604 0.798 5.371
Si 2.064 3.358 2.608
La 0.000 0.000 0.000
La -1.418 2.848 2.764
```

- formation energy without anion corrections (eV per atom) = -0.05
- total DFT energy (no corrections) (eV/atom) = -5.399
- symmetry = I-42d
- total moment (μB per atom) = 0.0002
- Fermi-level density of states (states/eV/atom) = 0.970

Entry 5:
Material: La2SiSb
Method: DFT, GGA-PBEsol
State: optimized geometry Values from VASP.

Cell and atoms, written as Quantum ESPRESSO input:
```
&SYSTEM
  ibrav = 0, nat = 4, ntyp = 3
/
ATOMIC_SPECIES
La 138.91 La.upf
Si 28.09 Si.upf
Sb 121.76 Sb.upf
CELL_PARAMETERS angstrom
-2.624 0.905 4.382
1.588 -4.918 -0.448
4.459 2.633 -0.288
ATOMIC_POSITIONS angstrom
La 2.429 1.198 1.862
La 0.994 -2.577 1.783
Si 3.023 -1.142 -0.368
Sb 0.000 0.000 0.000
```

- formation energy without anion corrections (eV per atom) = -0.76
- total DFT energy (no corrections) (eV/atom) = -6.012
- symmetry = I4/mmm
- total moment (μB per atom) = 0.0003
- Fermi-level density of states (states/eV/atom) = 0.882

Entry 6:
Material: La2SiSb
Method: DFT, GGA-PBEsol
State: optimized geometry Values from VASP.

Cell and atoms, written as Quantum ESPRESSO input:
```
&SYSTEM
  ibrav = 0, nat = 4, ntyp = 3
/
ATOMIC_SPECIES
La 138.91 La.upf
Sb 121.76 Sb.upf
Si 28.09 Si.upf
CELL_PARAMETERS angstrom
-1.667 1.173 2.991
-3.198 -0.297 -1.671
-0.701 -8.089 2.781
ATOMIC_POSITIONS angstrom
La -0.052 -0.604 0.208
La -2.911 -5.085 2.559
Sb -0.312 -3.600 1.238
Si -2.641 -1.969 1.488
```

- formation energy without anion corrections (eV per atom) = -0.32
- total DFT energy (no corrections) (eV/atom) = -5.564
- symmetry = P4mm
- total moment (μB per atom) = 0.0001
- Fermi-level density of states (states/eV/atom) = 0.986

Entry 7:
Material: LaSi2Sb
Method: DFT, GGA-PBEsol
State: optimized geometry Values from VASP.

Cell and atoms, written as Quantum ESPRESSO input:
```
&SYSTEM
  ibrav = 0, nat = 4, ntyp = 3
/
ATOMIC_SPECIES
La 138.91 La.upf
Si 28.09 Si.upf
Sb 121.76 Sb.upf
CELL_PARAMETERS angstrom
-0.822 3.442 -1.277
-2.850 0.227 2.445
3.849 2.497 4.254
ATOMIC_POSITIONS angstrom
La 1.884 1.223 2.083
Si 0.057 0.037 0.063
Si -1.055 2.342 1.448
Sb 1.215 3.814 3.956
```

- formation energy without anion corrections (eV per atom) = -0.23
- total DFT energy (no corrections) (eV/atom) = -5.584
- symmetry = P4mm
- total moment (μB per atom) = 0.0000
- Fermi-level density of states (states/eV/atom) = 0.646

Entry 8:
Material: LaSi2Sb
Method: DFT, GGA-PBEsol
State: optimized geometry Values from VASP.

Cell and atoms, written as Quantum ESPRESSO input:
```
&SYSTEM
  ibrav = 0, nat = 4, ntyp = 3
/
ATOMIC_SPECIES
La 138.91 La.upf
Si 28.09 Si.upf
Sb 121.76 Sb.upf
CELL_PARAMETERS angstrom
-2.789 -1.658 -1.925
2.134 -3.080 -0.438
-2.294 -2.349 5.346
ATOMIC_POSITIONS angstrom
La -0.327 -2.369 -1.182
Si -1.594 -1.633 3.716
Si -0.699 -0.716 1.630
Sb -1.474 -3.544 1.491
```

- formation energy without anion corrections (eV per atom) = -0.24
- total DFT energy (no corrections) (eV/atom) = -5.589
- symmetry = P4/mmm
- total moment (μB per atom) = 0.0000
- Fermi-level density of states (states/eV/atom) = 0.530

Entry 9:
Material: SrLaSb
Method: DFT, GGA-PBEsol
State: optimized geometry Values from VASP.

Cell and atoms, written as Quantum ESPRESSO input:
```
&SYSTEM
  ibrav = 0, nat = 3, ntyp = 3
/
ATOMIC_SPECIES
Sr 87.62 Sr.upf
La 138.91 La.upf
Sb 121.76 Sb.upf
CELL_PARAMETERS angstrom
5.262 0.000 0.000
2.631 4.557 0.000
2.631 1.519 4.297
ATOMIC_POSITIONS angstrom
Sr 2.631 1.519 1.074
La 0.000 0.000 0.000
Sb 5.262 3.038 2.148
```

- formation energy without anion corrections (eV per atom) = 0.02
- total DFT energy (no corrections) (eV/atom) = -3.894
- symmetry = F-43m
- total moment (μB per atom) = 0.0064
- Fermi-level density of states (states/eV/atom) = 1.452

Entry 10:
Material: SrLa3Sb
Method: DFT, GGA-PBEsol
State: optimized geometry Values from VASP.

Cell and atoms, written as Quantum ESPRESSO input:
```
&SYSTEM
  ibrav = 0, nat = 5, ntyp = 3
/
ATOMIC_SPECIES
Sr 87.62 Sr.upf
La 138.91 La.upf
Sb 121.76 Sb.upf
CELL_PARAMETERS angstrom
-4.470 -3.150 -1.234
3.332 -4.455 -0.696
-0.590 -1.288 5.424
ATOMIC_POSITIONS angstrom
Sr 0.000 0.000 0.000
La -2.235 -1.575 -0.617
La 1.666 -2.227 -0.348
La -0.295 -0.644 2.712
Sb -0.864 -4.447 1.747
```

- formation energy without anion corrections (eV per atom) = 0.67
- total DFT energy (no corrections) (eV/atom) = -3.817
- symmetry = Pm-3m
- total moment (μB per atom) = 0.0000
- Fermi-level density of states (states/eV/atom) = 0.893

Entry 11:
Material: SrLaSb2
Method: DFT, GGA-PBEsol
State: optimized geometry Values from VASP.

Cell and atoms, written as Quantum ESPRESSO input:
```
&SYSTEM
  ibrav = 0, nat = 4, ntyp = 3
/
ATOMIC_SPECIES
Sr 87.62 Sr.upf
Sb 121.76 Sb.upf
La 138.91 La.upf
CELL_PARAMETERS angstrom
3.875 0.000 0.000
1.937 3.356 0.000
1.937 1.119 10.429
ATOMIC_POSITIONS angstrom
Sr 3.875 2.237 5.562
Sb 5.812 3.356 8.181
Sb 1.937 1.119 10.142
La 1.937 1.119 2.187
```

- formation energy without anion corrections (eV per atom) = -0.13
- total DFT energy (no corrections) (eV/atom) = -4.201
- symmetry = R3m
- total moment (μB per atom) = 0.0000
- Fermi-level density of states (states/eV/atom) = 1.294

Entry 12:
Material: SrLaSb
Method: DFT, GGA-PBEsol
State: optimized geometry Values from VASP.

Cell and atoms, written as Quantum ESPRESSO input:
```
&SYSTEM
  ibrav = 0, nat = 3, ntyp = 3
/
ATOMIC_SPECIES
Sr 87.62 Sr.upf
Sb 121.76 Sb.upf
La 138.91 La.upf
CELL_PARAMETERS angstrom
-3.226 1.797 -2.428
-3.012 -4.062 0.994
-0.077 4.093 3.132
ATOMIC_POSITIONS angstrom
Sr -3.264 -0.658 0.780
Sb -3.230 2.586 0.782
La -3.045 1.697 -2.292
```

- formation energy without anion corrections (eV per atom) = -0.52
- total DFT energy (no corrections) (eV/atom) = -4.431
- symmetry = P3m1
- total moment (μB per atom) = 0.0000
- Fermi-level density of states (states/eV/atom) = 0.922

Which formula does entry 1 have?
LaSb2Se

What is the formula in the ninth record?
SrLaSb